Density functional theory data (GGA+U) for a relaxed Ac2Ni2O5 crystal.

Results
The calculation puts the energy at -6.457 eV/atom.

```
data_Ac2Ni2O5
_chemical_formula_sum 'Ac2 Ni2 O5'
_symmetry_space_group_name_H-M 'P 4/m m m'
_symmetry_Int_Tables_number 123
_symmetry_space_group_name_Hall '-P 4 2'
_cell_length_a 4.043
_cell_length_b 4.043
_cell_length_c 7.606
_cell_angle_alpha 90.00
_cell_angle_beta 90.00
_cell_angle_gamma 90.00
loop_
_atom_site_label
_atom_site_fract_x
_atom_site_fract_y
_atom_site_fract_z
Ac1 0.000 0.000 0.000
Ac2 0.000 0.000 0.500
Ni1 0.500 0.500 0.245
O1 0.000 0.500 0.217
O2 0.500 0.500 0.500
```